Model one:
Here is an optimized crystal structure of Rb2Sn2Ge from Alexandria. Energies are from PBE.

Lattice parameters (Å, degrees): 7.688 7.348 8.166 99.12 90.00 121.54
Fractional coordinates of all 10 atoms:
Ge (0.027, 0.000, 0.750)
Sn (0.990, 0.255, 0.020)
Rb (0.778, 0.287, 0.614)
Rb (0.510, 0.287, 0.114)
Sn (0.010, 0.745, 0.980)
Sn (0.265, 0.255, 0.520)
Ge (0.973, 0.000, 0.250)
Rb (0.222, 0.713, 0.386)
Sn (0.735, 0.745, 0.480)
Rb (0.490, 0.713, 0.886)

Total magnetization in μB/cell: 0.0



Model two:
Here is an optimized crystal structure of Rb2Sn2Ge from Alexandria. Energies are from PBE.

Lattice parameters (Å, degrees): 7.600 7.600 6.193 90.00 90.00 90.00
Fractional coordinates of all 10 atoms:
Sn (0.362, 0.862, 0.000)
Sn (0.638, 0.138, 0.000)
Rb (0.178, 0.678, 0.500)
Rb (0.678, 0.822, 0.500)
Rb (0.822, 0.322, 0.500)
Sn (0.138, 0.362, 0.000)
Rb (0.322, 0.178, 0.500)
Ge (0.000, 0.000, 0.000)
Ge (0.500, 0.500, 0.000)
Sn (0.862, 0.638, 0.000)

Total magnetization in μB/cell: 0.0



In terms of stability, model one leads; the second structure lies 36 meV/atom higher.



Model one:
Here is an optimized crystal structure of Rb3SnGe from Alexandria. Energies are from PBE.

Lattice parameters (Å, degrees): 8.461 8.461 8.722 112.34 116.89 98.16
Fractional coordinates of all 10 atoms:
Rb (0.859, 0.032, 0.264)
Ge (0.410, 0.202, 0.612)
Sn (0.309, 0.940, 0.249)
Rb (0.768, 0.595, 0.736)
Rb (0.706, 0.434, 0.141)
Sn (0.691, 0.060, 0.751)
Rb (0.141, 0.968, 0.736)
Ge (0.590, 0.798, 0.388)
Rb (0.294, 0.566, 0.859)
Rb (0.232, 0.405, 0.264)

Total magnetization in μB/cell: 0.4



Model two:
Here is an optimized crystal structure of Rb3SnGe from Alexandria. Energies are from PBE.

Lattice parameters (Å, degrees): 6.698 6.698 6.698 90.00 90.00 90.00
Site moments in Bohr magnetons follow the coordinates.
Fractional coordinates of all 5 atoms:
Rb (0.000, 0.000, 0.500)  0.02
Rb (0.500, 0.000, 0.000)  0.02
Ge (0.000, 0.000, 0.000)  0.16
Rb (0.000, 0.500, 0.000)  0.02
Sn (0.500, 0.500, 0.500)  0.74

Total magnetization in μB/cell: 2.9



In terms of stability, model one leads; the second structure lies 458 meV/atom higher.



Model one:
Here is an optimized crystal structure of Rb2SnGe from Alexandria. Energies are from PBE.

Lattice parameters (Å, degrees): 5.994 5.994 5.994 60.00 60.00 60.00
Fractional coordinates of all 4 atoms:
Ge (0.000, 0.000, 0.000)
Rb (0.750, 0.750, 0.750)
Sn (0.500, 0.500, 0.500)
Rb (0.250, 0.250, 0.250)

Total magnetization in μB/cell: 0.0



Model two:
Here is an optimized crystal structure of Rb2SnGe from Alexandria. Energies are from PBE.

Lattice parameters (Å, degrees): 4.374 6.851 6.851 63.55 71.38 71.38
Fractional coordinates of all 4 atoms:
Rb (0.433, 0.490, 0.643)
Ge (0.750, 0.967, 0.533)
Rb (0.067, 0.857, 0.010)
Sn (0.250, 0.185, 0.315)

Total magnetization in μB/cell: 0.0



In terms of stability, model two leads; the second structure lies 462 meV/atom higher.